12
Lattice="6.328 0.000 0.000 0.000 3.236 0.000 -1.309 0.000 8.551" Properties=species:S:1:pos:R:3 comment="PuNpTaN3 (PBE, relaxed)" dft_energy_ev_per_atom=-11.64 dos_ef_per_ev_cell=24.28 magnetic_moment_mub_per_fu=1.2 raw_formation_energy_ev_per_atom=-0.9603 pbc="T T T"
Pu 0.773 0.809 1.555
Pu 4.247 2.427 6.996
Np 0.665 0.809 5.090
Np 4.354 2.427 3.461
Ta 1.008 2.427 7.682
Ta 4.012 0.809 0.869
N -0.396 0.809 7.557
N 0.399 2.427 3.603
N 2.589 2.427 1.246
N 2.430 0.809 7.305
N 4.620 0.809 4.948
N 5.415 2.427 0.994

=====

12
Lattice="2.933 -5.069 0.000 2.933 5.069 0.000 -1.973 0.000 5.571" Properties=species:S:1:pos:R:3 comment="Pu3Np2TaN6 (PBE, relaxed)" dft_energy_ev_per_atom=-12.09 dos_ef_per_ev_cell=25.46 magnetic_moment_mub_per_fu=10.1 raw_formation_energy_ev_per_atom=-1.1989 pbc="T T T"
Pu 0.000 0.000 0.000
Pu 2.933 1.682 0.000
Pu 2.933 -1.682 0.000
Np 1.946 3.383 2.786
Np 1.946 -3.383 2.786
Ta 1.946 0.000 2.786
N 1.034 1.623 1.533
N 0.111 0.000 4.060
N 1.034 -1.623 1.533
N 2.859 1.623 4.039
N 3.782 0.000 1.511
N 2.859 -1.623 4.039

=====

8
Lattice="5.808 0.000 0.000 0.000 3.333 0.000 -1.861 0.000 5.543" Properties=species:S:1:pos:R:3 comment="Pu2NpTaN4 (PBE, relaxed)" dft_energy_ev_per_atom=-12.05 dos_ef_per_ev_cell=17.23 magnetic_moment_mub_per_fu=2.9 raw_formation_energy_ev_per_atom=-1.2067 pbc="T T T"
Pu 0.000 0.000 0.000
Pu 2.904 1.667 0.000
Np -0.930 1.667 2.771
Ta 1.974 0.000 2.771
N 0.158 0.000 4.031
N 1.068 1.667 1.559
N 2.880 1.667 3.984
N 3.789 0.000 1.511

=====

12
Lattice="2.871 -4.971 0.000 2.871 4.971 0.000 -1.908 0.000 5.521" Properties=species:S:1:pos:R:3 comment="Pu3NpTa2N6 (PBE, relaxed)" dft_energy_ev_per_atom=-12.03 dos_ef_per_ev_cell=21.81 magnetic_moment_mub_per_fu=16.9 raw_formation_energy_ev_per_atom=-1.2259 pbc="T T T"
Pu 0.000 0.000 0.000
Pu 2.871 1.663 0.000
Pu 2.871 -1.663 0.000
Np 1.917 0.000 2.760
Ta 1.917 3.314 2.760
Ta 1.917 -3.314 2.760
N 0.929 1.707 1.547
N -0.057 0.000 3.968
N 0.929 -1.707 1.547
N 2.905 1.707 3.974
N 3.890 0.000 1.553
N 2.905 -1.707 3.974

=====

12
Lattice="3.017 -5.220 0.000 3.017 5.220 0.000 -2.016 0.000 5.677" Properties=species:S:1:pos:R:3 comment="Tb2Pu3NpN6 (PBE, relaxed)" dft_energy_ev_per_atom=-10.97 dos_ef_per_ev_cell=20.57 magnetic_moment_mub_per_fu=17.6 raw_formation_energy_ev_per_atom=-1.3715 pbc="T T T"
Tb 3.017 3.483 0.000
Tb 3.017 -3.483 0.000
Pu -1.008 0.000 2.838
Pu 2.009 1.756 2.838
Pu 2.009 -1.756 2.838
Np 3.017 0.000 0.000
N 0.038 1.671 4.268
N 1.080 0.000 1.424
N 0.038 -1.671 4.268
N 3.981 1.671 1.409
N 2.939 0.000 4.253
N 3.981 -1.671 1.409

=====

16
Lattice="1.646 -5.835 0.000 1.646 5.835 0.000 0.000 0.000 11.577" Properties=species:S:1:pos:R:3 comment="Pu2NpTcN4 (PBE, relaxed)" dft_energy_ev_per_atom=-11.52 dos_ef_per_ev_cell=33.38 magnetic_moment_mub_per_fu=11.8 raw_formation_energy_ev_per_atom=-0.8589 pbc="T T T"
Pu 1.646 4.298 6.362
Pu 1.646 4.298 11.003
Pu 1.646 -4.298 0.574
Pu 1.646 -4.298 5.214
Np 1.646 1.339 8.682
Np 1.646 -1.339 2.894
Tc 1.646 1.708 2.894
Tc 1.646 -1.708 8.682
N 1.646 5.447 8.682
N 1.646 3.248 1.495
N 1.646 3.248 4.293
N 1.646 0.000 0.000
N 1.646 0.000 5.788
N 1.646 -3.248 7.284
N 1.646 -3.248 10.081
N 1.646 -5.447 2.894

=====

16
Lattice="1.651 -5.842 0.000 1.651 5.842 0.000 0.000 0.000 11.520" Properties=species:S:1:pos:R:3 comment="PuNp2TcN4 (PBE, relaxed)" dft_energy_ev_per_atom=-11.35 dos_ef_per_ev_cell=32.20 magnetic_moment_mub_per_fu=10.3 raw_formation_energy_ev_per_atom=-0.8648 pbc="T T T"
Pu 1.651 4.546 8.640
Pu 1.651 -4.546 2.880
Np 1.651 1.532 6.343
Np 1.651 1.532 10.938
Np 1.651 -1.532 0.582
Np 1.651 -1.532 5.178
Tc 1.651 4.079 2.880
Tc 1.651 -4.079 8.640
N 0.000 0.000 0.000
N 0.000 0.000 5.760
N 1.651 2.623 1.385
N 1.651 2.623 4.375
N 1.651 0.446 8.640
N 1.651 -0.446 2.880
N 1.651 -2.623 7.145
N 1.651 -2.623 10.135

=====

12
Lattice="2.933 -5.060 0.000 2.933 5.060 0.000 -1.923 0.000 5.511" Properties=species:S:1:pos:R:3 comment="Pu2Np3TcN6 (PBE, relaxed)" dft_energy_ev_per_atom=-11.58 dos_ef_per_ev_cell=25.57 magnetic_moment_mub_per_fu=6.5 raw_formation_energy_ev_per_atom=-0.9267 pbc="T T T"
Pu 2.933 3.369 0.000
Pu 2.933 -3.369 0.000
Np -0.961 0.000 2.755
Np 1.972 1.670 2.755
Np 1.972 -1.670 2.755
Tc 2.933 0.000 0.000
N 0.070 1.613 4.154
N 1.066 0.000 1.364
N 0.070 -1.613 4.154
N 3.873 1.613 1.356
N 2.878 0.000 4.146
N 3.873 -1.613 1.356

=====

10
Lattice="4.078 0.000 0.000 0.000 4.078 0.000 0.000 0.000 14.417" Properties=species:S:1:pos:R:3 comment="PuNpTe2N (PBE, relaxed)" dft_energy_ev_per_atom=-8.98 dos_ef_per_ev_cell=37.66 magnetic_moment_mub_per_fu=3.8 raw_formation_energy_ev_per_atom=-0.5996 pbc="T T T"
Pu 1.019 1.019 1.036
Pu 3.058 3.058 13.381
Np 1.019 1.019 8.515
Np 3.058 3.058 5.902
Te 1.019 1.019 5.390
Te 1.019 1.019 11.569
Te 3.058 3.058 2.848
Te 3.058 3.058 9.027
N 1.019 3.058 0.000
N 3.058 1.019 0.000

=====

12
Lattice="2.988 -5.172 0.000 2.988 5.172 0.000 -1.995 0.000 5.640" Properties=species:S:1:pos:R:3 comment="Tm2Pu3NpN6 (PBE, relaxed)" dft_energy_ev_per_atom=-10.98 dos_ef_per_ev_cell=20.61 magnetic_moment_mub_per_fu=17.7 raw_formation_energy_ev_per_atom=-1.4126 pbc="T T T"
Tm 2.988 3.451 0.000
Tm 2.988 -3.451 0.000
Pu -0.998 0.000 2.820
Pu 1.991 1.742 2.820
Pu 1.991 -1.742 2.820
Np 2.988 0.000 0.000
N 0.020 1.687 4.276
N 1.036 0.000 1.376
N 0.020 -1.687 4.276
N 3.962 1.687 1.363
N 2.946 0.000 4.264
N 3.962 -1.687 1.363

=====

8
Lattice="5.950 0.000 0.000 0.000 3.444 0.000 -2.008 0.000 5.648" Properties=species:S:1:pos:R:3 comment="TmPu2NpN4 (PBE, relaxed)" dft_energy_ev_per_atom=-11.24 dos_ef_per_ev_cell=15.15 magnetic_moment_mub_per_fu=2.8 raw_formation_energy_ev_per_atom=-1.3143 pbc="T T T"
Tm 0.000 0.000 0.000
Pu -1.004 1.722 2.824
Pu 1.971 0.000 2.824
Np 2.975 1.722 0.000
N -0.022 0.000 4.312
N 1.051 1.722 1.348
N 2.891 1.722 4.300
N 3.963 0.000 1.336

=====

8
Lattice="5.935 0.000 0.000 0.000 3.458 0.000 -2.012 0.000 5.641" Properties=species:S:1:pos:R:3 comment="PuNpU2N4 (PBE, relaxed)" dft_energy_ev_per_atom=-11.65 dos_ef_per_ev_cell=14.25 magnetic_moment_mub_per_fu=9.7 raw_formation_energy_ev_per_atom=-1.2591 pbc="T T T"
Pu 0.000 0.000 0.000
Np -1.006 1.729 2.820
U 1.961 0.000 2.820
U 2.968 1.729 0.000
N 0.025 0.000 4.237
N 1.034 1.729 1.441
N 2.889 1.729 4.200
N 3.898 0.000 1.404

=====

Number 7 is which compound?
PuNp2TcN4

=====

What is the formula in the second record?
Pu3Np2TaN6